Here is a relaxed structure of Mn2Re from Alexandria via LeMat-Bulk. Energies are from PBE.

Calculated values
For the formation energy, the calculation gives 0.472 eV per atom.

Cell lengths 6.119, 6.119, 3.846 Å; angles 90.00, 90.00, 120.00 degrees
Atoms (fractional coordinates):
Mn (0.000, 0.250, 0.000)
Mn (0.000, 0.584, 0.500)
Mn (0.250, 0.000, 0.000)
Mn (0.416, 0.416, 0.500)
Mn (0.584, 0.000, 0.500)
Mn (0.750, 0.750, 0.000)
Re (0.000, 0.000, 0.500)
Re (0.333, 0.667, 0.000)
Re (0.667, 0.333, 0.000)